[1]
Computed, not measured: a relaxed Ce2PrCo crystal at the GGA-PBE level of DFT.

Summary:
Fermi-level density of states = 7.76 states/eV/f.u.
raw total energy = -6.041 eV/atom
ΔE to the lowest computed polymorph = 0 meV/atom
DFT formation energy = -2.374 kcal/mol of atoms

a = 6.1718 Å, b = 9.5973 Å, c = 13.7682 Å
α = 90.00°, β = 90.00°, γ = 90.00°
Closest atoms and distances in Å follow each position.
Element x y z (fractional)
Ce 0.0754 0.0681 0.2121  2 Co 2.54-2.65
Ce 0.5754 0.9319 0.2879  2 Co 2.54-2.65
Ce 0.9246 0.5681 0.7879  2 Co 2.54-2.65
Ce 0.4246 0.4319 0.7121  2 Co 2.54-2.65
Ce 0.9246 0.9319 0.7879  2 Co 2.54-2.65
Ce 0.4246 0.0681 0.7121  2 Co 2.54-2.65
Ce 0.0754 0.4319 0.2121  2 Co 2.54-2.65
Ce 0.5754 0.5681 0.2879  2 Co 2.54-2.65
Ce 0.7597 0.5642 0.0378  2 Co 2.55-2.66
Ce 0.2597 0.4358 0.4622  2 Co 2.55-2.66
Ce 0.2403 0.0642 0.9622  2 Co 2.55-2.66
Ce 0.7403 0.9358 0.5378  2 Co 2.55-2.66
Ce 0.2403 0.4358 0.9622  2 Co 2.55-2.66
Ce 0.7403 0.5642 0.5378  2 Co 2.55-2.66
Ce 0.7597 0.9358 0.0378  2 Co 2.55-2.66
Ce 0.2597 0.0642 0.4622  2 Co 2.55-2.66
Pr 0.5587 0.2500 0.1456  3 Co 3.12-3.27
Pr 0.0587 0.7500 0.3544  3 Co 3.12-3.27
Pr 0.4413 0.7500 0.8544  3 Co 3.12-3.27
Pr 0.9413 0.2500 0.6456  3 Co 3.12-3.27
Pr 0.7614 0.2500 0.3985  3 Co 3.13-3.24
Pr 0.2614 0.7500 0.1015  3 Co 3.13-3.24
Pr 0.2386 0.7500 0.6015  3 Co 3.13-3.24
Pr 0.7386 0.2500 0.8985  3 Co 3.13-3.24
Co 0.2633 0.2500 0.3297  4 Ce 2.55-2.65
Co 0.7633 0.7500 0.1703  4 Ce 2.55-2.65
Co 0.7367 0.7500 0.6703  4 Ce 2.55-2.65
Co 0.2367 0.2500 0.8297  4 Ce 2.55-2.65
Co 0.0501 0.2500 0.0781  4 Ce 2.54-2.66
Co 0.5501 0.7500 0.4219  4 Ce 2.54-2.66
Co 0.9499 0.7500 0.9219  4 Ce 2.54-2.66
Co 0.4499 0.2500 0.5781  4 Ce 2.54-2.66

[2]
Computed, not measured: a relaxed Ce3PrCo2 crystal at the GGA-PBE level of DFT.

Summary:
Fermi-level density of states = 9.64 states/eV/f.u.
raw total energy = -6.203 eV/atom
DFT formation energy = -1.629 kcal/mol of atoms

a = 4.4984 Å, b = 8.9374 Å, c = 7.8775 Å
α = 114.00°, β = 90.00°, γ = 104.58°
Closest atoms and distances in Å follow each position.
Element x y z (fractional)
Ce 0.2996 0.5991 0.5833  2 Co 2.66-2.94, 3 Ce 2.80-2.96
Ce 0.9739 0.9479 0.7219  2 Co 2.39
Ce 0.5985 0.1969 0.6390  2 Co 2.50
Ce 0.4015 0.8031 0.3610  2 Co 2.50
Ce 0.0261 0.0521 0.2781  2 Co 2.39
Ce 0.7004 0.4009 0.4167  2 Co 2.66-2.94, 3 Ce 2.80-2.96
Pr 0.8249 0.6498 0.9490  1 Co 2.94
Pr 0.1751 0.3502 0.0510  1 Co 2.94
Co 0.4824 0.9648 0.8315  2 Ce 2.39, 1 Co 2.46
Co 0.5176 0.0352 0.1685  2 Ce 2.39, 1 Co 2.46
Co 0.8331 0.6661 0.3291  3 Ce 2.50-2.66
Co 0.1669 0.3339 0.6709  3 Ce 2.50-2.66